1.
# Sr3CdAu

A relaxed Sr3CdAu crystal (PBE-GGA, the Alexandria database).

Cell and atoms, written as extended XYZ:
```
5
Lattice="-3.7269 3.8154 2.8370 -1.4719 -4.3534 3.9214 4.5210 1.7279 3.6153" Properties=species:S:1:pos:R:3 pbc="T T T"
Sr -0.7359 -2.1767 1.9607
Sr -1.8634 1.9077 1.4185
Sr 2.2605 0.8640 1.8076
Cd -0.3389 0.5950 5.1868
Au 0.0000 0.0000 0.0000
```

Results
Fermi-level density of states ... 3.77 states/eV per cell
SG ... Pm-3m, No. 221
Calculated total energy ... -2.150 eV/atom
Theoretical density ... 4.3 g/cm3

=====

2.
# AcPmCdPd

A relaxed AcPmCdPd crystal (PBE-GGA, the Alexandria database).

Cell and atoms, written as extended XYZ:
```
4
Lattice="5.4231 0.0000 0.0000 2.7115 4.6965 0.0000 2.7115 1.5655 4.4279" Properties=species:S:1:pos:R:3 pbc="T T T"
Pd 2.7115 1.5655 1.1070
Cd 8.1346 4.6965 3.3209
Ac 5.4231 3.1310 2.2140
Pm 0.0000 0.0000 0.0000
```

Results
Fermi-level density of states ... 3.08 states/eV per cell
SG ... F-43m, No. 216
Calculated total energy ... -4.181 eV/atom
Theoretical density ... 8.7 g/cm3